1.
DFT (meta-GGA SCAN) results for a crystal of Li2CuPt relaxed with PBEsol.

## Properties
density of states at the Fermi level: 1.38 states/eV/cell
uncorrected energy: -22.92 eV/atom
energy relative to the elements: -378 meV per atom
crystal system: monoclinic
energy relative to the lowest polymorph listed for this composition: 49 meV per atom

Structure (CIF):
```
data_Li2CuPt
_cell_length_a 2.6850
_cell_length_b 4.2449
_cell_length_c 4.5476
_cell_angle_alpha 90.00
_cell_angle_beta 94.48
_cell_angle_gamma 90.00
_space_group_name_H-M_alt 'P 1 2/m 1'
_space_group_IT_number 10
_space_group_name_Hall '-P 2y'
loop_
_atom_site_label
_atom_site_fract_x
_atom_site_fract_y
_atom_site_fract_z
Li1 0.2304 0.0000 0.2416
Cu1 0.0000 0.5000 0.5000
Pt1 0.5000 0.5000 0.0000
```

---

2.
DFT (meta-GGA SCAN) results for a crystal of ZnMoCl2 relaxed with PBEsol.

## Properties
density of states at the Fermi level: 2.44 states/eV/cell
uncorrected energy: -16.32 eV/atom
ΔE_f (raw): -22.8 kJ/mol of atoms
crystal system: monoclinic
energy relative to the lowest polymorph listed for this composition: 0 meV per atom

Structure (CIF):
```
data_ZnMoCl2
_cell_length_a 9.8544
_cell_length_b 2.9415
_cell_length_c 6.9021
_cell_angle_alpha 90.00
_cell_angle_beta 112.69
_cell_angle_gamma 90.00
_space_group_name_H-M_alt 'C 1 m 1'
_space_group_IT_number 8
_space_group_name_Hall 'C -2y'
loop_
_atom_site_label
_atom_site_fract_x
_atom_site_fract_y
_atom_site_fract_z
Zn1 0.0000 0.0000 0.0000
Mo1 0.2304 0.5000 0.0000
Cl1 0.1772 0.0000 0.7014
Cl2 0.3386 0.0000 0.2985
```

---

3.
DFT (meta-GGA SCAN) results for a crystal of CsPSe2Br relaxed with PBEsol.

## Properties
density of states at the Fermi level: 1.92 states/eV/cell
uncorrected energy: -21.99 eV/atom
ΔE_f (raw): -41.3 kJ/mol of atoms
crystal system: tetragonal

Structure (CIF):
```
data_CsPSe2Br
_cell_length_a 4.8961
_cell_length_b 4.8961
_cell_length_c 5.5793
_cell_angle_alpha 90.00
_cell_angle_beta 90.00
_cell_angle_gamma 90.00
_space_group_name_H-M_alt 'P 4/m m m'
_space_group_IT_number 123
_space_group_name_Hall '-P 4 2'
loop_
_atom_site_label
_atom_site_fract_x
_atom_site_fract_y
_atom_site_fract_z
Cs1 0.0000 0.0000 0.0000
P1 0.5000 0.5000 0.5000
Se1 0.0000 0.5000 0.5000
Br1 0.5000 0.5000 0.0000
```

---

4.
DFT (meta-GGA SCAN) results for a crystal of ReSbAu2 relaxed with PBEsol.

## Properties
density of states at the Fermi level: 1.93 states/eV/cell
uncorrected energy: -61.18 eV/atom
ΔE_f (raw): 47.0 kJ/mol of atoms
crystal system: tetragonal

Structure (CIF):
```
data_ReSbAu2
_cell_length_a 3.4012
_cell_length_b 3.4012
_cell_length_c 6.0418
_cell_angle_alpha 90.00
_cell_angle_beta 90.00
_cell_angle_gamma 90.00
_space_group_name_H-M_alt 'P 4 m m'
_space_group_IT_number 99
_space_group_name_Hall 'P 4 -2'
loop_
_atom_site_label
_atom_site_fract_x
_atom_site_fract_y
_atom_site_fract_z
Re1 0.0000 0.0000 0.0000
Sb1 0.5000 0.5000 0.2165
Au1 0.0000 0.0000 0.5105
Au2 0.5000 0.5000 0.7386
```

---

5.
DFT (meta-GGA SCAN) results for a crystal of ZrScP2S relaxed with PBEsol.

## Properties
density of states at the Fermi level: 3.81 states/eV/cell
uncorrected energy: -15.17 eV/atom
ΔE_f (raw): -9.0 kJ/mol of atoms
crystal system: tetragonal

Structure (CIF):
```
data_ZrScP2S
_cell_length_a 4.7533
_cell_length_b 4.7533
_cell_length_c 4.6354
_cell_angle_alpha 90.00
_cell_angle_beta 90.00
_cell_angle_gamma 90.00
_space_group_name_H-M_alt 'P 4/m m m'
_space_group_IT_number 123
_space_group_name_Hall '-P 4 2'
loop_
_atom_site_label
_atom_site_fract_x
_atom_site_fract_y
_atom_site_fract_z
Zr1 0.0000 0.0000 0.0000
Sc1 0.5000 0.5000 0.5000
P1 0.0000 0.5000 0.5000
S1 0.5000 0.5000 0.0000
```

---

6.
DFT (meta-GGA SCAN) results for a crystal of LiNiBO3 relaxed with PBEsol.

## Properties
uncorrected energy: -9.51 eV/atom
ΔE_f (raw): -198.6 kJ/mol of atoms
crystal system: hexagonal
energy relative to the lowest polymorph listed for this composition: 55 meV per atom

Structure (CIF):
```
data_LiNiBO3
_cell_length_a 7.9131
_cell_length_b 7.9131
_cell_length_c 3.0099
_cell_angle_alpha 90.00
_cell_angle_beta 90.00
_cell_angle_gamma 120.00
_space_group_name_H-M_alt 'P -6'
_space_group_IT_number 174
_space_group_name_Hall 'P -6'
loop_
_atom_site_label
_atom_site_fract_x
_atom_site_fract_y
_atom_site_fract_z
Li1 0.0080 0.2994 0.0000
Ni1 0.3860 0.3717 0.5000
B1 0.0000 0.0000 0.5000
B2 0.3333 0.6667 0.0000
B3 0.6667 0.3333 0.5000
O1 0.0931 0.8912 0.5000
O2 0.1336 0.5877 0.0000
O3 0.4807 0.1764 0.5000
```

---

7.
DFT (meta-GGA SCAN) results for a crystal of CSeI3 relaxed with PBEsol.

## Properties
density of states at the Fermi level: 4.30 states/eV/cell
uncorrected energy: -26.67 eV/atom
ΔE_f (raw): 136.2 kJ/mol of atoms
crystal system: cubic

Structure (CIF):
```
data_CSeI3
_cell_length_a 4.9418
_cell_length_b 4.9418
_cell_length_c 4.9418
_cell_angle_alpha 90.00
_cell_angle_beta 90.00
_cell_angle_gamma 90.00
_space_group_name_H-M_alt 'P m -3 m'
_space_group_IT_number 221
_space_group_name_Hall '-P 4 2 3'
loop_
_atom_site_label
_atom_site_fract_x
_atom_site_fract_y
_atom_site_fract_z
C1 0.0000 0.0000 0.0000
Se1 0.5000 0.5000 0.5000
I1 0.0000 0.0000 0.5000
```

---

8.
DFT (meta-GGA SCAN) results for a crystal of Lu2CoCu relaxed with PBEsol.

## Properties
density of states at the Fermi level: 12.60 states/eV/cell
uncorrected energy: -36.11 eV/atom
energy relative to the elements: -311 meV per atom
crystal system: cubic

Structure (CIF):
```
data_Lu2CoCu
_cell_length_a 6.5204
_cell_length_b 6.5204
_cell_length_c 6.5204
_cell_angle_alpha 90.00
_cell_angle_beta 90.00
_cell_angle_gamma 90.00
_space_group_name_H-M_alt 'F m -3 m'
_space_group_IT_number 225
_space_group_name_Hall '-F 4 2 3'
loop_
_atom_site_label
_atom_site_fract_x
_atom_site_fract_y
_atom_site_fract_z
Lu1 0.2500 0.2500 0.2500
Co1 0.0000 0.0000 0.0000
Cu1 0.0000 0.0000 0.5000
```